# Dy2SiNi, relaxed, DFT PBE
data_Dy2SiNi
_cell_length_a 5.5942
_cell_length_b 3.8354
_cell_length_c 7.8040
_cell_angle_alpha 90.00
_cell_angle_beta 90.89
_cell_angle_gamma 90.00
_symmetry_space_group_name_H-M 'P 1 21/m 1'
_symmetry_Int_Tables_number 11
loop_
_symmetry_equiv_pos_as_xyz
'x,y,z'
'-x,-y,-z'
'-x,y+1/2,-z'
'x,-y+1/2,z'
loop_
_atom_site_label
_atom_site_type_symbol
_atom_site_fract_x
_atom_site_fract_y
_atom_site_fract_z
Dy1 Dy 0.1195 0.2500 0.1935
Dy2 Dy 0.3804 0.2500 0.6688
Si1 Si 0.3723 0.7500 0.9643
Ni1 Ni 0.1207 0.7500 0.4673
# Distance to the lowest polymorph of the same formula in eV/atom: 0.031
# Total magnetization in μB per cell: 0.00

---

# Pt3S4, relaxed, DFT PBE
data_Pt3S4
_cell_length_a 12.6082
_cell_length_b 3.7677
_cell_length_c 6.0540
_cell_angle_alpha 90.00
_cell_angle_beta 118.10
_cell_angle_gamma 90.00
_symmetry_space_group_name_H-M 'C 1 2/m 1'
_symmetry_Int_Tables_number 12
loop_
_symmetry_equiv_pos_as_xyz
'x,y,z'
'-x,-y,-z'
'-x,y,-z'
'x,-y,z'
'x+1/2,y+1/2,z'
'-x+1/2,-y+1/2,-z'
'-x+1/2,y+1/2,-z'
'x+1/2,-y+1/2,z'
loop_
_atom_site_label
_atom_site_type_symbol
_atom_site_fract_x
_atom_site_fract_y
_atom_site_fract_z
Pt1 Pt 0.0000 0.0000 0.0000
Pt2 Pt 0.2343 0.5000 0.7196
S1 S 0.1269 0.0000 0.4529
S2 S 0.1403 0.5000 0.9879
# Total magnetization in μB per cell: 0.02

---

# Ta11Ni4, relaxed, DFT PBE
data_Ta11Ni4
_cell_length_a 9.7719
_cell_length_b 9.7719
_cell_length_c 5.2337
_cell_angle_alpha 90.00
_cell_angle_beta 90.00
_cell_angle_gamma 90.00
_symmetry_space_group_name_H-M 'P 42/m n m'
_symmetry_Int_Tables_number 136
_symmetry_space_group_name_Hall '-P 4n 2n'
loop_
_atom_site_label
_atom_site_type_symbol
_atom_site_fract_x
_atom_site_fract_y
_atom_site_fract_z
Ta1 Ta 0.0000 0.0000 0.0000
Ta2 Ta 0.0647 0.2802 0.0000
Ta3 Ta 0.1094 0.1094 0.5000
Ta4 Ta 0.1803 0.8197 0.2514
Ni1 Ni 0.0380 0.3665 0.5000
# Distance to the lowest polymorph of the same formula in eV/atom: 0.075
# Formation enthalpy at 0 K in kJ/mol of formula units: -59
# Total magnetization in μB per cell: 0.04

---

# Gd3Si2Ni, relaxed, DFT PBE
data_Gd3Si2Ni
_cell_length_a 11.3927
_cell_length_b 4.1576
_cell_length_c 11.3293
_cell_angle_alpha 90.00
_cell_angle_beta 90.00
_cell_angle_gamma 90.00
_symmetry_space_group_name_H-M 'P n m a'
_symmetry_Int_Tables_number 62
loop_
_symmetry_equiv_pos_as_xyz
'x,y,z'
'-x,-y,-z'
'-x+1/2,-y,z+1/2'
'x+1/2,y,-z+1/2'
'x+1/2,-y+1/2,-z+1/2'
'-x+1/2,y+1/2,z+1/2'
'-x,y+1/2,-z'
'x,-y+1/2,z'
loop_
_atom_site_label
_atom_site_type_symbol
_atom_site_fract_x
_atom_site_fract_y
_atom_site_fract_z
Gd1 Gd 0.0579 0.2500 0.1248
Gd2 Gd 0.1180 0.7500 0.5597
Gd3 Gd 0.2136 0.2500 0.8036
Si1 Si 0.0258 0.7500 0.3139
Si2 Si 0.1968 0.7500 0.9944
Ni1 Ni 0.1296 0.2500 0.3665
# Total magnetization in μB per cell: 2.11

---

# AsOsPtO, relaxed, DFT PBE
data_AsOsPtO
_cell_length_a 3.9446
_cell_length_b 5.5127
_cell_length_c 6.0213
_cell_angle_alpha 90.00
_cell_angle_beta 90.00
_cell_angle_gamma 90.00
_symmetry_space_group_name_H-M 'P m c 21'
_symmetry_Int_Tables_number 26
loop_
_symmetry_equiv_pos_as_xyz
'x,y,z'
'-x,-y,z+1/2'
'-x,y,z'
'x,-y,z+1/2'
loop_
_atom_site_label
_atom_site_type_symbol
_atom_site_fract_x
_atom_site_fract_y
_atom_site_fract_z
As1 As 0.0000 0.2254 0.0000
Os1 Os 0.5000 0.4620 0.1251
Pt1 Pt 0.0000 0.2080 0.6097
O1 O 0.5000 0.2662 0.3912
# Distance to the lowest polymorph of the same formula in eV/atom: 0.245
# Total magnetization in μB per cell: 0.31

---

# SmGdInFe2, relaxed, DFT PBE
data_SmGdInFe2
_cell_length_a 4.0747
_cell_length_b 3.7987
_cell_length_c 13.8634
_cell_angle_alpha 90.00
_cell_angle_beta 90.00
_cell_angle_gamma 90.00
_symmetry_space_group_name_H-M 'A m m 2'
_symmetry_Int_Tables_number 38
loop_
_symmetry_equiv_pos_as_xyz
'x,y,z'
'-x,-y,z'
'-x,y,z'
'x,-y,z'
'x,y+1/2,z+1/2'
'-x,-y+1/2,z+1/2'
'-x,y+1/2,z+1/2'
'x,-y+1/2,z+1/2'
loop_
_atom_site_label
_atom_site_type_symbol
_atom_site_fract_x
_atom_site_fract_y
_atom_site_fract_z
Sm1 Sm 0.0000 0.0000 0.0000
Gd1 Gd 0.0000 0.0000 0.2737
In1 In 0.5000 0.0000 0.6379
Fe1 Fe 0.5000 0.0000 0.4256
Fe2 Fe 0.5000 0.0000 0.8452
# Total magnetization in μB per cell: 3.21

---

# TmCdSb, relaxed, DFT PBE
data_TmCdSb
_cell_length_a 7.1241
_cell_length_b 7.1241
_cell_length_c 7.1241
_cell_angle_alpha 90.00
_cell_angle_beta 90.00
_cell_angle_gamma 90.00
_symmetry_space_group_name_H-M 'F -4 3 m'
_symmetry_Int_Tables_number 216
_symmetry_space_group_name_Hall 'F -4 2 3'
loop_
_atom_site_label
_atom_site_type_symbol
_atom_site_fract_x
_atom_site_fract_y
_atom_site_fract_z
Tm1 Tm 0.0000 0.0000 0.0000
Cd1 Cd 0.2500 0.2500 0.7500
Sb1 Sb 0.2500 0.2500 0.2500
# Distance to the lowest polymorph of the same formula in eV/atom: 0.000
# Total magnetization in μB per cell: 0.00

---

# NdDy2Mg3Cd2Ag, relaxed, DFT PBE
data_NdDy2Mg3Cd2Ag
_cell_length_a 4.2552
_cell_length_b 13.6219
_cell_length_c 7.8159
_cell_angle_alpha 90.00
_cell_angle_beta 90.00
_cell_angle_gamma 90.00
_symmetry_space_group_name_H-M 'A m m 2'
_symmetry_Int_Tables_number 38
loop_
_symmetry_equiv_pos_as_xyz
'x,y,z'
'-x,-y,z'
'-x,y,z'
'x,-y,z'
'x,y+1/2,z+1/2'
'-x,-y+1/2,z+1/2'
'-x,y+1/2,z+1/2'
'x,-y+1/2,z+1/2'
loop_
_atom_site_label
_atom_site_type_symbol
_atom_site_fract_x
_atom_site_fract_y
_atom_site_fract_z
Nd1 Nd 0.0000 0.0000 0.0000
Dy1 Dy 0.0000 0.2029 0.6115
Mg1 Mg 0.5000 0.0000 0.6502
Mg2 Mg 0.5000 0.1216 0.2883
Cd1 Cd 0.5000 0.1703 0.9070
Ag1 Ag 0.0000 0.0000 0.4132
# Total magnetization in μB per cell: 0.09

---

Entry from the Open Quantum Materials Database: an optimized crystal structure of RbSnAuSeS2 (PBE).

Geometry as CIF:
```
data_RbSnAuSeS2
_cell_length_a 3.9302
_cell_length_b 16.9379
_cell_length_c 10.3816
_cell_angle_alpha 90.00
_cell_angle_beta 90.00
_cell_angle_gamma 90.00
_symmetry_space_group_name_H-M 'C m c m'
_symmetry_Int_Tables_number 63
_symmetry_space_group_name_Hall '-C 2c 2'
loop_
_atom_site_label
_atom_site_type_symbol
_atom_site_fract_x
_atom_site_fract_y
_atom_site_fract_z
Rb1 Rb 0.0000 0.2169 0.2500
Sn1 Sn 0.0000 0.5000 0.0000
Au1 Au 0.0000 0.1132 0.7500
Se1 Se 0.0000 0.4473 0.7500
S1 S 0.0000 0.1080 0.5276
```

---

Entry from the Open Quantum Materials Database: an optimized crystal structure of TlCdI3 (PBE).

Geometry as CIF:
```
data_TlCdI3
_cell_length_a 10.2168
_cell_length_b 4.4613
_cell_length_c 16.5458
_cell_angle_alpha 90.00
_cell_angle_beta 90.00
_cell_angle_gamma 90.00
_symmetry_space_group_name_H-M 'P n m a'
_symmetry_Int_Tables_number 62
loop_
_symmetry_equiv_pos_as_xyz
'x,y,z'
'-x,-y,-z'
'-x+1/2,-y,z+1/2'
'x+1/2,y,-z+1/2'
'x+1/2,-y+1/2,-z+1/2'
'-x+1/2,y+1/2,z+1/2'
'-x,y+1/2,-z'
'x,-y+1/2,z'
loop_
_atom_site_label
_atom_site_type_symbol
_atom_site_fract_x
_atom_site_fract_y
_atom_site_fract_z
Tl1 Tl 0.0553 0.2500 0.1771
Cd1 Cd 0.1683 0.7500 0.4445
I1 I 0.0210 0.7500 0.6063
I2 I 0.1621 0.7500 0.0100
I3 I 0.2075 0.2500 0.7854
```

---

# Be2FeSb, relaxed, DFT PBE
data_Be2FeSb
_cell_length_a 5.8050
_cell_length_b 5.8050
_cell_length_c 5.8050
_cell_angle_alpha 90.00
_cell_angle_beta 90.00
_cell_angle_gamma 90.00
_symmetry_space_group_name_H-M 'F -4 3 m'
_symmetry_Int_Tables_number 216
_symmetry_space_group_name_Hall 'F -4 2 3'
loop_
_atom_site_label
_atom_site_type_symbol
_atom_site_fract_x
_atom_site_fract_y
_atom_site_fract_z
Be1 Be 0.0000 0.0000 0.0000
Be2 Be 0.2500 0.2500 0.2500
Fe1 Fe 0.2500 0.2500 0.7500
Sb1 Sb 0.0000 0.0000 0.5000
# Total magnetization in μB per cell: 0.06

---

# GdCoSi, relaxed, DFT PBE
data_GdCoSi
_cell_length_a 6.0785
_cell_length_b 6.0785
_cell_length_c 6.0785
_cell_angle_alpha 90.00
_cell_angle_beta 90.00
_cell_angle_gamma 90.00
_symmetry_space_group_name_H-M 'F -4 3 m'
_symmetry_Int_Tables_number 216
_symmetry_space_group_name_Hall 'F -4 2 3'
loop_
_atom_site_label
_atom_site_type_symbol
_atom_site_fract_x
_atom_site_fract_y
_atom_site_fract_z
Gd1 Gd 0.0000 0.0000 0.0000
Co1 Co 0.2500 0.2500 0.2500
Si1 Si 0.0000 0.0000 0.5000
# Total magnetization in μB per cell: 1.70

---

# NaHgPd, relaxed, DFT PBE
data_NaHgPd
_cell_length_a 6.4704
_cell_length_b 6.4704
_cell_length_c 6.4704
_cell_angle_alpha 90.00
_cell_angle_beta 90.00
_cell_angle_gamma 90.00
_symmetry_space_group_name_H-M 'F -4 3 m'
_symmetry_Int_Tables_number 216
_symmetry_space_group_name_Hall 'F -4 2 3'
loop_
_atom_site_label
_atom_site_type_symbol
_atom_site_fract_x
_atom_site_fract_y
_atom_site_fract_z
Na1 Na 0.0000 0.0000 0.0000
Hg1 Hg 0.2500 0.2500 0.7500
Pd1 Pd 0.2500 0.2500 0.2500
# Distance to the lowest polymorph of the same formula in eV/atom: 0.321

---

# NbZnNO, relaxed, DFT PBE
data_NbZnNO
_cell_length_a 4.3103
_cell_length_b 4.3103
_cell_length_c 4.6809
_cell_angle_alpha 90.00
_cell_angle_beta 90.00
_cell_angle_gamma 90.00
_symmetry_space_group_name_H-M 'P 4/n m m'
_symmetry_Int_Tables_number 129
loop_
_symmetry_equiv_pos_as_xyz
'x,y,z'
'-x,-y,-z'
'-y+1/2,x,z'
'y+1/2,-x,-z'
'-x+1/2,-y+1/2,z'
'x+1/2,y+1/2,-z'
'y,-x+1/2,z'
'-y,x+1/2,-z'
'x+1/2,-y,-z'
'-x+1/2,y,z'
'-y,-x,-z'
'y,x,z'
'-x,y+1/2,-z'
'x,-y+1/2,z'
'y+1/2,x+1/2,-z'
'-y+1/2,-x+1/2,z'
loop_
_atom_site_label
_atom_site_type_symbol
_atom_site_fract_x
_atom_site_fract_y
_atom_site_fract_z
Nb1 Nb 0.2500 0.7500 0.0000
Zn1 Zn 0.2500 0.2500 0.4931
N1 N 0.2500 0.2500 0.9975
O1 O 0.2500 0.7500 0.5000
# Distance to the lowest polymorph of the same formula in eV/atom: 0.183
# Total magnetization in μB per cell: 0.00

---

# LaSc2NiSn3Ir2, relaxed, DFT PBE
data_LaSc2NiSn3Ir2
_cell_length_a 3.6746
_cell_length_b 13.1642
_cell_length_c 7.5223
_cell_angle_alpha 90.00
_cell_angle_beta 90.00
_cell_angle_gamma 90.00
_symmetry_space_group_name_H-M 'A m m 2'
_symmetry_Int_Tables_number 38
loop_
_symmetry_equiv_pos_as_xyz
'x,y,z'
'-x,-y,z'
'-x,y,z'
'x,-y,z'
'x,y+1/2,z+1/2'
'-x,-y+1/2,z+1/2'
'-x,y+1/2,z+1/2'
'x,-y+1/2,z+1/2'
loop_
_atom_site_label
_atom_site_type_symbol
_atom_site_fract_x
_atom_site_fract_y
_atom_site_fract_z
La1 La 0.0000 0.0000 0.0000
Sc1 Sc 0.0000 0.2036 0.6131
Ni1 Ni 0.0000 0.0000 0.4131
Sn1 Sn 0.5000 0.0000 0.6578
Sn2 Sn 0.5000 0.1331 0.2873
Ir1 Ir 0.5000 0.1726 0.9092
# Total magnetization in μB per cell: 0.01

---

# MoSeS3Br, relaxed, DFT PBE
data_MoSeS3Br
_cell_length_a 6.1912
_cell_length_b 7.9376
_cell_length_c 7.9982
_cell_angle_alpha 118.05
_cell_angle_beta 97.60
_cell_angle_gamma 104.89
_symmetry_space_group_name_H-M 'P -1'
_symmetry_Int_Tables_number 2
loop_
_symmetry_equiv_pos_as_xyz
'x,y,z'
'-x,-y,-z'
loop_
_atom_site_label
_atom_site_type_symbol
_atom_site_fract_x
_atom_site_fract_y
_atom_site_fract_z
Mo1 Mo 0.2251 0.9995 0.0000
Se1 Se 0.1292 0.2302 0.3116
S1 S 0.0214 0.1405 0.8511
S2 S 0.3999 0.7267 0.9362
S3 S 0.4701 0.0237 0.7814
Br1 Br 0.2629 0.6021 0.3729
# Distance to the lowest polymorph of the same formula in eV/atom: 0.000
# Total magnetization in μB per cell: 0.00

---

# PmAlSb, relaxed, DFT PBE
data_PmAlSb
_cell_length_a 7.2158
_cell_length_b 7.2158
_cell_length_c 7.2158
_cell_angle_alpha 90.00
_cell_angle_beta 90.00
_cell_angle_gamma 90.00
_symmetry_space_group_name_H-M 'F -4 3 m'
_symmetry_Int_Tables_number 216
_symmetry_space_group_name_Hall 'F -4 2 3'
loop_
_atom_site_label
_atom_site_type_symbol
_atom_site_fract_x
_atom_site_fract_y
_atom_site_fract_z
Pm1 Pm 0.0000 0.0000 0.0000
Al1 Al 0.2500 0.2500 0.7500
Sb1 Sb 0.2500 0.2500 0.2500
# Distance to the lowest polymorph of the same formula in eV/atom: 0.080
# Total magnetization in μB per cell: 0.00

---

# Nb4NiPC2, relaxed, DFT PBE
data_Nb4NiPC2
_cell_length_a 3.2189
_cell_length_b 3.2189
_cell_length_c 12.2586
_cell_angle_alpha 90.00
_cell_angle_beta 90.00
_cell_angle_gamma 120.00
_symmetry_space_group_name_H-M 'P -6 m 2'
_symmetry_Int_Tables_number 187
_symmetry_space_group_name_Hall 'P -6 2'
loop_
_atom_site_label
_atom_site_type_symbol
_atom_site_fract_x
_atom_site_fract_y
_atom_site_fract_z
Nb1 Nb 0.0000 0.0000 0.1429
Nb2 Nb 0.6667 0.3333 0.3413
Ni1 Ni 0.0000 0.0000 0.5000
P1 P 0.6667 0.3333 0.0000
C1 C 0.3333 0.6667 0.2467
# Total magnetization in μB per cell: 0.00

---

# ErZn2SnIr4, relaxed, DFT PBE
data_ErZn2SnIr4
_cell_length_a 4.4785
_cell_length_b 4.4785
_cell_length_c 6.4452
_cell_angle_alpha 90.00
_cell_angle_beta 90.00
_cell_angle_gamma 90.00
_symmetry_space_group_name_H-M 'P 4/m m m'
_symmetry_Int_Tables_number 123
_symmetry_space_group_name_Hall '-P 4 2'
loop_
_atom_site_label
_atom_site_type_symbol
_atom_site_fract_x
_atom_site_fract_y
_atom_site_fract_z
Er1 Er 0.0000 0.0000 0.0000
Zn1 Zn 0.0000 0.0000 0.5000
Zn2 Zn 0.5000 0.5000 0.0000
Sn1 Sn 0.5000 0.5000 0.5000
Ir1 Ir 0.0000 0.5000 0.2634
# Total magnetization in μB per cell: 0.00

---

# Nb2W4S3N3, relaxed, DFT PBE
data_Nb2W4S3N3
_cell_length_a 10.0374
_cell_length_b 5.3534
_cell_length_c 11.9549
_cell_angle_alpha 90.00
_cell_angle_beta 95.92
_cell_angle_gamma 90.00
_symmetry_space_group_name_H-M 'C 1 2/c 1'
_symmetry_Int_Tables_number 15
loop_
_symmetry_equiv_pos_as_xyz
'x,y,z'
'-x,-y,-z'
'-x,y,-z+1/2'
'x,-y,z+1/2'
'x+1/2,y+1/2,z'
'-x+1/2,-y+1/2,-z'
'-x+1/2,y+1/2,-z+1/2'
'x+1/2,-y+1/2,z+1/2'
loop_
_atom_site_label
_atom_site_type_symbol
_atom_site_fract_x
_atom_site_fract_y
_atom_site_fract_z
Nb1 Nb 0.0606 0.0759 0.4085
W1 W 0.1048 0.4343 0.5853
W2 W 0.1807 0.4151 0.8841
S1 S 0.0000 0.4033 0.2500
S2 S 0.1569 0.1029 0.7315
N1 N 0.1342 0.2049 0.0336
N2 N 0.2500 0.2500 0.5000
# Total magnetization in μB per cell: 0.01

---

Calculated values (eV per atom) of total energy for the records, taken in order: -5.654; -5.070; -10.218; -5.785; -6.678; -5.912; -3.524; -2.837; -3.806; -2.177; -4.502; -6.007; -2.051; -7.001; -6.581; -5.159; -4.298; -9.226; -6.180; -9.374.